P | A plane-wave DFT calculation with GGA-PBE was carried out for crystalline HfZn2Pd2 at its relaxed geometry.

Output
Its crystal system is monoclinic.

The structure in CIF format:
```
data_HfZn2Pd2
_cell_length_a 10.0094
_cell_length_b 4.7516
_cell_length_c 7.2168
_cell_angle_alpha 90.00
_cell_angle_beta 111.59
_cell_angle_gamma 90.00
_space_group_name_H-M_alt 'C 1 2/c 1'
_space_group_IT_number 15
_space_group_name_Hall '-C 2yc'
loop_
_atom_site_label
_atom_site_fract_x
_atom_site_fract_y
_atom_site_fract_z
_atom_site_occupancy
Hf1 0.0000 0.1750 0.2500 1
Zn1 0.1999 0.1904 0.6569 1
Pd1 0.1035 0.3222 0.9560 1
```

---

Q | A plane-wave DFT calculation with GGA-PBE was carried out for crystalline HfZn2Pd2 at its relaxed geometry.

Output
Its crystal system is tetragonal.

The structure in CIF format:
```
data_HfZn2Pd2
_cell_length_a 3.5679
_cell_length_b 3.5679
_cell_length_c 13.2882
_cell_angle_alpha 90.00
_cell_angle_beta 90.00
_cell_angle_gamma 90.00
_space_group_name_H-M_alt 'I 4/m m m'
_space_group_IT_number 139
_space_group_name_Hall '-I 4 2'
loop_
_atom_site_label
_atom_site_fract_x
_atom_site_fract_y
_atom_site_fract_z
_atom_site_occupancy
Hf1 0.0000 0.0000 0.0000 1
Zn1 0.0000 0.5000 0.2500 1
Pd1 0.0000 0.0000 0.3990 1
```

---

R | A plane-wave DFT calculation with GGA-PBE was carried out for crystalline HfZn2Pd2 at its relaxed geometry.

Output
Its crystal system is tetragonal.

The structure in CIF format:
```
data_HfZn2Pd2
_cell_length_a 7.3104
_cell_length_b 7.3104
_cell_length_c 3.0506
_cell_angle_alpha 90.00
_cell_angle_beta 90.00
_cell_angle_gamma 90.00
_space_group_name_H-M_alt 'P 4/m b m'
_space_group_IT_number 127
_space_group_name_Hall '-P 4 2ab'
loop_
_atom_site_label
_atom_site_fract_x
_atom_site_fract_y
_atom_site_fract_z
_atom_site_occupancy
Hf1 0.0000 0.0000 0.0000 1
Zn1 0.1543 0.3457 0.5000 1
Pd1 0.1427 0.6427 0.0000 1
```

---

Which of them is most stable, and which least? Most stable: P; least stable: R.

---

P | A plane-wave DFT calculation with GGA-PBE was carried out for crystalline HfZn2Pd4 at its relaxed geometry.

Output
Its crystal system is tetragonal.

The structure in CIF format:
```
data_HfZn2Pd4
_cell_length_a 3.9929
_cell_length_b 3.9929
_cell_length_c 14.7129
_cell_angle_alpha 90.00
_cell_angle_beta 90.00
_cell_angle_gamma 90.00
_space_group_name_H-M_alt 'I 4/m m m'
_space_group_IT_number 139
_space_group_name_Hall '-I 4 2'
loop_
_atom_site_label
_atom_site_fract_x
_atom_site_fract_y
_atom_site_fract_z
_atom_site_occupancy
Hf1 0.0000 0.0000 0.0000 1
Zn1 0.0000 0.0000 0.2546 1
Pd1 0.0000 0.5000 0.1264 1
```

---

Q | A plane-wave DFT calculation with GGA-PBE was carried out for crystalline HfZn2Pd4 at its relaxed geometry.

Output
Its crystal system is triclinic.

The structure in CIF format:
```
data_HfZn2Pd4
_cell_length_a 5.5306
_cell_length_b 6.5774
_cell_length_c 7.0118
_cell_angle_alpha 104.76
_cell_angle_beta 107.05
_cell_angle_gamma 101.52
_space_group_name_H-M_alt 'P 1'
_space_group_IT_number 1
_space_group_name_Hall 'P 1'
loop_
_atom_site_label
_atom_site_fract_x
_atom_site_fract_y
_atom_site_fract_z
_atom_site_occupancy
Hf1 0.0000 0.0000 0.0000 1
Hf2 0.2403 0.7862 0.4342 1
Zn1 0.4580 0.4779 0.6917 1
Zn2 0.5692 0.2424 0.0460 1
Zn3 0.7114 0.9457 0.3014 1
Zn4 0.9762 0.4837 0.7500 1
Pd1 0.1502 0.1220 0.6855 1
Pd2 0.3050 0.5158 0.1127 1
Pd3 0.3861 0.8302 0.8892 1
Pd4 0.4298 0.2085 0.3478 1
Pd5 0.6661 0.1135 0.7122 1
Pd6 0.7592 0.6993 0.5293 1
Pd7 0.8185 0.6206 0.0717 1
Pd8 0.9957 0.3525 0.3665 1
```

---

Which of them is most stable, and which least? Most stable: Q; least stable: P.

---

P | A plane-wave DFT calculation with GGA-PBE was carried out for crystalline HfZnPd5 at its relaxed geometry.

Output
Its crystal system is tetragonal.

The structure in CIF format:
```
data_HfZnPd5
_cell_length_a 4.0915
_cell_length_b 4.0915
_cell_length_c 6.8908
_cell_angle_alpha 90.00
_cell_angle_beta 90.00
_cell_angle_gamma 90.00
_space_group_name_H-M_alt 'P 4/m m m'
_space_group_IT_number 123
_space_group_name_Hall '-P 4 2'
loop_
_atom_site_label
_atom_site_fract_x
_atom_site_fract_y
_atom_site_fract_z
_atom_site_occupancy
Hf1 0.0000 0.0000 0.0000 1
Zn1 0.5000 0.5000 0.5000 1
Pd1 0.0000 0.5000 0.2774 1
Pd2 0.5000 0.5000 0.0000 1
```

---

Q | A plane-wave DFT calculation with GGA-PBE was carried out for crystalline HfZnPd5 at its relaxed geometry.

Output
Its crystal system is monoclinic.

The structure in CIF format:
```
data_HfZnPd5
_cell_length_a 9.5089
_cell_length_b 9.5709
_cell_length_c 6.8403
_cell_angle_alpha 90.00
_cell_angle_beta 121.41
_cell_angle_gamma 90.00
_space_group_name_H-M_alt 'C 1 2/c 1'
_space_group_IT_number 15
_space_group_name_Hall '-C 2yc'
loop_
_atom_site_label
_atom_site_fract_x
_atom_site_fract_y
_atom_site_fract_z
_atom_site_occupancy
Hf1 0.0000 0.0459 0.2500 1
Zn1 0.0000 0.5000 0.0000 1
Pd1 0.0000 0.3125 0.2500 1
Pd2 0.1156 0.1895 0.9935 1
Pd3 0.2090 0.1073 0.6823 1
```

---

Which of them is most stable, and which least? Most stable: P; least stable: Q.

---

P | A plane-wave DFT calculation with GGA-PBE was carried out for crystalline HfZn4Pd at its relaxed geometry.

Output
Its crystal system is tetragonal.

The structure in CIF format:
```
data_HfZn4Pd
_cell_length_a 3.0308
_cell_length_b 3.0308
_cell_length_c 10.2769
_cell_angle_alpha 90.00
_cell_angle_beta 90.00
_cell_angle_gamma 90.00
_space_group_name_H-M_alt 'P 4/m m m'
_space_group_IT_number 123
_space_group_name_Hall '-P 4 2'
loop_
_atom_site_label
_atom_site_fract_x
_atom_site_fract_y
_atom_site_fract_z
_atom_site_occupancy
Hf1 0.0000 0.0000 0.0000 1
Zn1 0.0000 0.0000 0.3470 1
Zn2 0.5000 0.5000 0.1911 1
Pd1 0.5000 0.5000 0.5000 1
```

---

Q | A plane-wave DFT calculation with GGA-PBE was carried out for crystalline HfZn4Pd at its relaxed geometry.

Output
Its crystal system is hexagonal.

The structure in CIF format:
```
data_HfZn4Pd
_cell_length_a 4.3501
_cell_length_b 4.3501
_cell_length_c 5.7291
_cell_angle_alpha 90.00
_cell_angle_beta 90.00
_cell_angle_gamma 120.00
_space_group_name_H-M_alt 'P 6/m m m'
_space_group_IT_number 191
_space_group_name_Hall '-P 6 2'
loop_
_atom_site_label
_atom_site_fract_x
_atom_site_fract_y
_atom_site_fract_z
_atom_site_occupancy
Hf1 0.0000 0.0000 0.0000 1
Zn1 0.3333 0.6667 0.2603 1
Pd1 0.0000 0.0000 0.5000 1
```

---

Which of them is most stable, and which least? Most stable: Q; least stable: P.

---

P | A plane-wave DFT calculation with GGA-PBE was carried out for crystalline HfZnPd3 at its relaxed geometry.

Output
Its crystal system is orthorhombic.

The structure in CIF format:
```
data_HfZnPd3
_cell_length_a 4.4139
_cell_length_b 5.5585
_cell_length_c 7.0717
_cell_angle_alpha 90.00
_cell_angle_beta 90.00
_cell_angle_gamma 90.00
_space_group_name_H-M_alt 'P m m n'
_space_group_IT_number 59
loop_
_space_group_symop_operation_xyz
'x,y,z'
'-x,-y,-z'
'-x+1/2,-y+1/2,z'
'x+1/2,y+1/2,-z'
'x+1/2,-y,-z'
'-x+1/2,y,z'
'-x,y+1/2,-z'
'x,-y+1/2,z'
loop_
_atom_site_label
_atom_site_fract_x
_atom_site_fract_y
_atom_site_fract_z
_atom_site_occupancy
Hf1 0.2500 0.2500 0.1429 1
Zn1 0.2500 0.7500 0.4405 1
Pd1 0.2500 0.0071 0.7390 1
Pd2 0.2500 0.7500 0.0855 1
```

---

Q | A plane-wave DFT calculation with GGA-PBE was carried out for crystalline HfZnPd3 at its relaxed geometry.

Output
Its crystal system is cubic.

The structure in CIF format:
```
data_HfZnPd3
_cell_length_a 4.5604
_cell_length_b 4.5604
_cell_length_c 4.5604
_cell_angle_alpha 90.00
_cell_angle_beta 90.00
_cell_angle_gamma 90.00
_space_group_name_H-M_alt 'P m -3 m'
_space_group_IT_number 221
_space_group_name_Hall '-P 4 2 3'
loop_
_atom_site_label
_atom_site_fract_x
_atom_site_fract_y
_atom_site_fract_z
_atom_site_occupancy
Hf1 0.0000 0.0000 0.0000 1
Zn1 0.5000 0.5000 0.5000 1
Pd1 0.0000 0.5000 0.5000 1
```

---

Which of them is most stable, and which least? Most stable: P; least stable: Q.

---

P | A plane-wave DFT calculation with GGA-PBE was carried out for crystalline HfZnPd3 at its relaxed geometry.

Output
Its crystal system is cubic.

The structure in CIF format:
```
data_HfZnPd3
_cell_length_a 4.8795
_cell_length_b 4.8795
_cell_length_c 4.8795
_cell_angle_alpha 90.00
_cell_angle_beta 90.00
_cell_angle_gamma 90.00
_space_group_name_H-M_alt 'P m -3 m'
_space_group_IT_number 221
_space_group_name_Hall '-P 4 2 3'
loop_
_atom_site_label
_atom_site_fract_x
_atom_site_fract_y
_atom_site_fract_z
_atom_site_occupancy
Hf1 0.0000 0.0000 0.0000 1
Zn1 0.5000 0.5000 0.5000 1
Pd1 0.0000 0.0000 0.5000 1
```

---

Q | A plane-wave DFT calculation with GGA-PBE was carried out for crystalline HfZnPd3 at its relaxed geometry.

Output
Its crystal system is monoclinic.

The structure in CIF format:
```
data_HfZnPd3
_cell_length_a 9.5923
_cell_length_b 3.9646
_cell_length_c 8.5959
_cell_angle_alpha 90.00
_cell_angle_beta 94.97
_cell_angle_gamma 90.00
_space_group_name_H-M_alt 'C 1 2/m 1'
_space_group_IT_number 12
_space_group_name_Hall '-C 2y'
loop_
_atom_site_label
_atom_site_fract_x
_atom_site_fract_y
_atom_site_fract_z
_atom_site_occupancy
Hf1 0.1498 0.0000 0.0839 1
Zn1 0.1380 0.5000 0.5543 1
Pd1 0.0556 0.5000 0.8560 1
Pd2 0.0664 0.0000 0.3637 1
Pd3 0.2374 0.0000 0.7311 1
```

---

Which of them is most stable, and which least? Most stable: Q; least stable: P.